Entry 1:
Compound: LiTl2S8
Source: Alexandria via LeMat-Bulk
Functional: PBE
Structure: relaxed

DOS at the Fermi energy = 5.4 states/eV/cell
Total magnetic moment = 0.5 μB/cell
Space group = P-1
Formation energy (no corrections) = -0.131 eV per atom

abc: 4.743 7.539 9.245
angles: 77.59 80.68 78.49
Positions (direct):
Li: 0.000 0.000 0.000
Tl: 0.198 0.258 0.410
Tl: 0.802 0.742 0.590
S: 0.213 0.755 0.837
S: 0.318 0.603 0.028
S: 0.397 0.600 0.423
S: 0.486 0.076 0.898
S: 0.514 0.924 0.102
S: 0.603 0.400 0.577
S: 0.682 0.397 0.972
S: 0.787 0.245 0.163

Entry 2:
Compound: CsMnGe2
Source: Alexandria via LeMat-Bulk
Functional: PBE
Structure: relaxed

Energy of formation = 64.3 meV/atom
DOS at the Fermi energy = 3.1 states/eV/cell
Total magnetic moment = 3.3 μB/cell
Distance to the lowest polymorph of the same formula = 0.00 kcal/mol of atoms
Space group = R-3m

abc: 7.645 7.645 7.645
angles: 31.93 31.93 31.93
Positions (direct):
Cs: 0.000 0.000 0.000
Mn: 0.500 0.500 0.500
Ge: 0.204 0.204 0.204
Ge: 0.796 0.796 0.796

Entry 3:
Compound: HfTiGa3
Source: Alexandria via LeMat-Bulk
Functional: PBE
Structure: relaxed

Energy of formation = -271.0 meV/atom
DOS at the Fermi energy = 5.6 states/eV/cell
Total magnetic moment = 0.0 μB/cell
Distance to the lowest polymorph of the same formula = 0.00 kcal/mol of atoms
Space group = Pmmn

abc: 3.906 6.204 7.343
angles: 90.00 90.00 90.00
Positions (direct):
Hf: 0.250 0.250 0.177
Hf: 0.750 0.750 0.823
Ti: 0.250 0.750 0.474
Ti: 0.750 0.250 0.526
Ga: 0.250 0.047 0.724
Ga: 0.250 0.453 0.724
Ga: 0.250 0.750 0.095
Ga: 0.750 0.250 0.905
Ga: 0.750 0.547 0.276
Ga: 0.750 0.953 0.276

Q: Which value of total magnetic moment does entry 2 give?
A: 3.3 μB/cell